Record 1
Below is a relaxed Tm3Ge2C crystal, with properties calculated at the PBE level.

Unit cell a=8.3887 b=8.3887 c=8.3887 alpha=155.46 beta=146.98 gamma=41.57
Last column: nearest neighbours and their distance in Å.
Fractional coordinates of all 6 atoms:
Tm1 0.0000 0.0000 0.0000  2 C 2.38
Tm2 0.3464 0.8464 0.5000  1 C 2.41
Tm3 0.6536 0.1536 0.5000  1 C 2.41
Ge1 0.1560 0.6560 0.5000  7 Tm 2.98-3.03
Ge2 0.8440 0.3440 0.5000  7 Tm 2.98-3.03
C1 0.5000 0.0000 0.5000  4 Tm 2.38-2.41

Calculated values
- DOS(E_F) (states/eV per cell) = 3.91
- formation energy from the elements (eV per atom) = -0.223


Record 2
Below is a relaxed RbCu12As6 crystal, with properties calculated at the PBE level.

Unit cell a=7.2585 b=7.2585 c=7.2585 alpha=105.75 beta=105.75 gamma=105.75
Last column: nearest neighbours and their distance in Å.
Fractional coordinates of all 19 atoms:
Rb1 0.0000 0.0000 0.0000  6 Cu 3.54, 12 As 3.93
Cu1 0.1720 0.5000 0.8280  4 As 2.44-2.50
Cu2 0.1720 0.8280 0.5000  4 As 2.44-2.50
Cu3 0.2133 0.4520 0.4520  2 As 2.42, 2 Cu 2.69
Cu4 0.4520 0.2133 0.4520  2 As 2.42, 2 Cu 2.69
Cu5 0.4520 0.4520 0.2133  2 As 2.42, 2 Cu 2.69
Cu6 0.5000 0.1720 0.8280  4 As 2.44-2.50
Cu7 0.5000 0.8280 0.1720  4 As 2.44-2.50
Cu8 0.5480 0.5480 0.7867  2 As 2.42, 2 Cu 2.69
Cu9 0.5480 0.7867 0.5480  2 As 2.42, 2 Cu 2.69
Cu10 0.7867 0.5480 0.5480  2 As 2.42, 2 Cu 2.69
Cu11 0.8280 0.1720 0.5000  4 As 2.44-2.50
Cu12 0.8280 0.5000 0.1720  4 As 2.44-2.50
As1 0.1935 0.1935 0.6049  6 Cu 2.42-2.50
As2 0.1935 0.6049 0.1935  6 Cu 2.42-2.50
As3 0.3951 0.8065 0.8065  6 Cu 2.42-2.50
As4 0.6049 0.1935 0.1935  6 Cu 2.42-2.50
As5 0.8065 0.3951 0.8065  6 Cu 2.42-2.50
As6 0.8065 0.8065 0.3951  6 Cu 2.42-2.50

Calculated values
- DOS(E_F) (states/eV per cell) = 8.94
- formation energy from the elements (eV per atom) = 0.024


Among the records above, which one has the lowest DOS(E_F)?
Tm3Ge2C


Among the records above, which one has the highest DOS(E_F)?
RbCu12As6


The highest DOS(E_F) belongs to which entry?
RbCu12As6


Which of these has the highest formation energy from the elements?
RbCu12As6